(1)
Here is a geometry-optimized AgAu structure from the Alexandria database. Energies are from PBE.

The space group is Fd-3m (No. 227, origin choice 2) and the conventional cell measures 6.607, 6.607 and 6.607 Å, with angles of 90.00, 90.00 and 90.00 degrees. The inequivalent atoms are Ag at (0.125, 0.125, 0.125) and Au at (0.125, 0.125, 0.625).

The energy relative to the elements is -0.01 eV/atom. The calculated volume comes out at 18.0 Å³/atom. As for the calculated total energy: -49.16 eV/cell.

=====

(2)
Here is a geometry-optimized RbAlCuCl6 structure from the Alexandria database. Energies are from PBE.

The space group is P1 (No. 1) and the conventional cell measures 6.198, 6.200 and 7.316 Å, with angles of 92.66, 92.58 and 114.28 degrees. The inequivalent atoms are Rb at (0.000, 0.000, 0.000), Al at (0.649, 0.352, 0.500), Cu at (0.306, 0.696, 0.499), Cl at (0.349, 0.047, 0.657), Cl at (0.361, 0.418, 0.308), Cl at (0.582, 0.641, 0.691), Cl at (0.630, 0.066, 0.290), Cl at (0.934, 0.372, 0.710) and Cl at (0.954, 0.651, 0.343).

The calculated volume comes out at 28.4 Å³/atom. As for the calculated total energy: -31.35 eV/cell.

=====

Among the records above, which one has the highest calculated total energy?
RbAlCuCl6

=====

Among the records above, which one has the lowest calculated total energy?
AgAu